Record 1
This record from the Alexandria database describes crystalline Os2Pd2W at its relaxed geometry. The functional is PBE.

Values from the calculation:
**E_form**: 0.585 eV/atom
**DOS at the Fermi energy**: 3.75 states/eV/f.u.
**SG**: No. 127
**Polymorph energy (0 for the lowest one)**: 0 meV per atom
**VASP energy**: -85.747 eV per cell

Unit cell a=6.5193 b=6.5193 c=3.8435 alpha=90.00 beta=90.00 gamma=90.00
Last column: nearest neighbours and their distance in Å.
Element x y z (fractional)
Pd1 0.8336 0.3336 0.5000  6 Os 2.67-2.75
Pd2 0.3336 0.1664 0.5000  6 Os 2.67-2.75
Pd3 0.1664 0.6664 0.5000  6 Os 2.67-2.75
Pd4 0.6664 0.8336 0.5000  6 Os 2.67-2.75
Os1 0.1330 0.3670 0.0000  1 Os 2.45, 2 W 2.54, 2 Pd 2.67
Os2 0.8670 0.6330 0.0000  1 Os 2.45, 2 W 2.54, 2 Pd 2.67
Os3 0.3670 0.8670 0.0000  1 Os 2.45, 2 W 2.54, 2 Pd 2.67
Os4 0.6330 0.1330 0.0000  1 Os 2.45, 2 W 2.54, 2 Pd 2.67
W1 0.5000 0.5000 0.0000  4 Os 2.54
W2 0.0000 0.0000 0.0000  4 Os 2.54



Record 2
This record from the Alexandria database describes crystalline CeTh2Zr at its relaxed geometry. The functional is PBE.

Values from the calculation:
**E_form**: 0.328 eV/atom
**DOS at the Fermi energy**: 8.40 states/eV/f.u.
**SG**: No. 166
**Polymorph energy (0 for the lowest one)**: 280 meV per atom
**VASP energy**: -28.011 eV per cell

Unit cell a=3.3388 b=3.3388 c=12.2757 alpha=82.18 beta=82.18 gamma=60.00
Last column: nearest neighbours and their distance in Å.
Element x y z (fractional)
Zr1 0.0000 0.0000 0.0000  2 Th 3.05, 6 Zr 3.34
Th1 0.9161 0.9161 0.2518  1 Zr 3.05, 6 Th 3.34
Th2 0.0839 0.0839 0.7482  1 Zr 3.05, 6 Th 3.34
Ce1 0.5000 0.5000 0.5000  6 Ce 3.34, 6 Th 3.57



Record 3
This record from the Alexandria database describes crystalline K4NaCe3S8 at its relaxed geometry. The functional is PBE.

Values from the calculation:
**DOS at the Fermi energy**: 12.83 states/eV/f.u.
**SG**: No. 166
**E_form (uncorrected)**: -1651 meV per atom
**VASP energy**: -82.951 eV per cell

Unit cell a=8.3614 b=8.7430 c=8.3609 alpha=118.57 beta=120.00 gamma=90.00
Last column: nearest neighbours and their distance in Å.
Element x y z (fractional)
S1 0.7145 0.7007 0.9575  2 Ce 2.77, 1 Na 2.94
S2 0.7352 0.7057 0.4703  3 Ce 2.84
S3 0.2648 0.2943 0.5297  3 Ce 2.84
S4 0.7566 0.2987 0.5132  2 Ce 2.77, 1 Na 2.94
S5 0.2855 0.2993 0.0425  2 Ce 2.77, 1 Na 2.94
S6 0.2430 0.7007 0.9575  2 Ce 2.77, 1 Na 2.94
S7 0.7570 0.2993 0.0425  2 Ce 2.77, 1 Na 2.94
S8 0.2434 0.7013 0.4868  2 Ce 2.77, 1 Na 2.94
K1 0.5000 0.0000 0.0000  6 S 3.15
K2 0.5000 0.0000 0.5000  6 S 3.23-3.31
K3 0.0000 0.0000 0.5000  6 S 3.23-3.31
K4 0.0000 0.0000 0.0000  6 S 3.23-3.31
Na1 0.0000 0.5000 0.0000  6 S 2.94
Ce1 0.5000 0.5000 0.5000  6 S 2.77-2.84
Ce2 0.0000 0.5000 0.5000  6 S 2.77-2.84
Ce3 0.5000 0.5000 0.0000  6 S 2.77-2.84